VASP calculation (PBE-GGA) on LaCuSi2 after structural relaxation.

Cell lengths 6.7769, 6.7769, 6.7769 Å; angles 90.00, 90.00, 90.00 degrees
Sites, in units of the cell vectors:
1 La 0.0000 0.0000 0.0000
2 La 0.0000 0.5000 0.5000
3 La 0.5000 0.0000 0.5000
4 La 0.5000 0.5000 0.0000
5 Cu 0.0000 0.0000 0.5000
6 Cu 0.0000 0.5000 0.0000
7 Cu 0.5000 0.0000 0.0000
8 Cu 0.5000 0.5000 0.5000
9 Si 0.2500 0.2500 0.2500
10 Si 0.2500 0.2500 0.7500
11 Si 0.2500 0.7500 0.2500
12 Si 0.2500 0.7500 0.7500
13 Si 0.7500 0.2500 0.2500
14 Si 0.7500 0.2500 0.7500
15 Si 0.7500 0.7500 0.2500
16 Si 0.7500 0.7500 0.7500

## Properties
E_tot: -4.940 eV/atom
Fermi-level density of states: 9.10 states/eV/cell
size of the total moment: 0.00 μB per cell